(1)
First-principles (PBE-GGA) data for crystalline LaTi2Pt2 at its relaxed geometry, as listed in Alexandria.

Density of states at the Fermi level (states/eV/cell): 6.62
ΔE_f (meV/atom): -599
Relative energy among the computed polymorphs (meV/atom): 290.5
Symmetry: I4/mmm, No. 139

a b c (Å): 5.8771 5.8771 5.8771
angles (deg): 132.54 132.54 69.38
Last column: nearest neighbours and their distance in Å.
Positions (direct):
La1 0.0000 0.0000 0.0000  8 Pt 3.38, 10 Ti 3.44-3.62
Ti1 0.3558 0.3558 0.0000  4 Pt 2.58, 1 Ti 2.79
Ti2 0.6442 0.6442 0.0000  4 Pt 2.58, 1 Ti 2.79
Pt1 0.2500 0.7500 0.5000  4 Ti 2.58
Pt2 0.7500 0.2500 0.5000  4 Ti 2.58



(2)
First-principles (PBE-GGA) data for crystalline Sr2LaGaN at its relaxed geometry, as listed in Alexandria.

Formation energy from raw total energies (eV per atom): -0.587
Density of states at the Fermi level (states/eV/cell): 4.02
Symmetry: P4/mmm, No. 123

a b c (Å): 5.3131 5.3131 4.9309
angles (deg): 90.00 90.00 90.00
Last column: nearest neighbours and their distance in Å.
Positions (direct):
Sr1 0.0000 0.5000 0.0000  2 N 2.66
Sr2 0.5000 0.0000 0.0000  2 N 2.66
La1 0.0000 0.0000 0.5000  2 N 2.47
Ga1 0.5000 0.5000 0.5000  8 Sr 3.62, 4 La 3.76
N1 0.0000 0.0000 0.0000  2 La 2.47, 4 Sr 2.66



(3)
First-principles (PBE-GGA) data for crystalline KZn2P at its relaxed geometry, as listed in Alexandria.

Density of states at the Fermi level (states/eV/cell): 0.66
ΔE_f (meV/atom): 387
Symmetry: Pmmm, No. 47

a b c (Å): 3.1222 5.1737 5.3094
angles (deg): 90.00 90.00 90.00
Last column: nearest neighbours and their distance in Å.
Positions (direct):
K1 0.0000 0.0000 0.0000  4 Zn 3.02, 4 P 3.08, 2 K 3.12
Zn1 0.0000 0.5000 0.5000  4 P 3.02, 6 Zn 3.08-3.12
Zn2 0.5000 0.5000 0.0000  4 K 3.02, 6 Zn 3.08-3.12
P1 0.5000 0.0000 0.5000  4 Zn 3.02, 4 K 3.08, 2 P 3.12



(4)
First-principles (PBE-GGA) data for crystalline RbNiAu2 at its relaxed geometry, as listed in Alexandria.

Density of states at the Fermi level (states/eV/cell): 3.74
ΔE_f (meV/atom): 653
Relative energy among the computed polymorphs (meV/atom): 535.1
Symmetry: Fm-3m, No. 225

a b c (Å): 5.0420 5.0420 5.0420
angles (deg): 60.00 60.00 60.00
Last column: nearest neighbours and their distance in Å.
Positions (direct):
Rb1 0.0000 0.0000 0.0000  8 Au 3.09
Ni1 0.5000 0.5000 0.5000  8 Au 3.09
Au1 0.2500 0.2500 0.2500  4 Ni 3.09, 4 Rb 3.09
Au2 0.7500 0.7500 0.7500  4 Ni 3.09, 4 Rb 3.09



(5)
First-principles (PBE-GGA) data for crystalline Sm2PaTl at its relaxed geometry, as listed in Alexandria.

Density of states at the Fermi level (states/eV/cell): 5.23
ΔE_f (meV/atom): -24
Relative energy among the computed polymorphs (meV/atom): 0.0
Symmetry: P4/mmm, No. 123

a b c (Å): 3.5041 3.5041 9.4367
angles (deg): 90.00 90.00 90.00
Last column: nearest neighbours and their distance in Å.
Positions (direct):
Sm1 0.0000 0.0000 0.2457  4 Tl 3.39, 4 Pa 3.45, 4 Sm 3.50
Sm2 0.0000 0.0000 0.7543  4 Tl 3.39, 4 Pa 3.45, 4 Sm 3.50
Pa1 0.5000 0.5000 0.5000  8 Sm 3.45, 4 Pa 3.50
Tl1 0.5000 0.5000 0.0000  8 Sm 3.39, 4 Tl 3.50



(6)
First-principles (PBE-GGA) data for crystalline Ba2MgZr at its relaxed geometry, as listed in Alexandria.

Density of states at the Fermi level (states/eV/cell): 6.35
ΔE_f (meV/atom): 425
Symmetry: P4/mmm, No. 123

a b c (Å): 3.7150 3.7150 10.6961
angles (deg): 90.00 90.00 90.00
Last column: nearest neighbours and their distance in Å.
Positions (direct):
Ba1 0.0000 0.0000 0.2461  4 Ba 3.71, 4 Zr 3.72, 4 Mg 3.78
Ba2 0.0000 0.0000 0.7539  4 Ba 3.71, 4 Zr 3.72, 4 Mg 3.78
Mg1 0.5000 0.5000 0.5000  4 Mg 3.71, 8 Ba 3.78
Zr1 0.5000 0.5000 0.0000  4 Zr 3.71, 8 Ba 3.72



(7)
First-principles (PBE-GGA) data for crystalline Sm8GeAs5 at its relaxed geometry, as listed in Alexandria.

Density of states at the Fermi level (states/eV/cell): 13.28
ΔE_f (meV/atom): -1202
Symmetry: I-4, No. 82

a b c (Å): 7.7410 7.7410 7.7410
angles (deg): 109.47 109.47 109.48
Last column: nearest neighbours and their distance in Å.
Positions (direct):
Sm1 0.0068 0.6236 0.7479  5 As 2.93-3.27, 1 Ge 2.95
Sm2 0.2410 0.4906 0.1161  5 As 2.93-3.26, 1 Ge 3.25
Sm3 0.3745 0.1249 0.8839  5 As 2.93-3.26, 1 Ge 3.25
Sm4 0.3764 0.1244 0.3832  5 As 2.93-3.27, 1 Ge 2.95
Sm5 0.5094 0.6255 0.7504  5 As 2.93-3.26, 1 Ge 3.25
Sm6 0.7412 0.9932 0.6168  5 As 2.93-3.27, 1 Ge 2.95
Sm7 0.8751 0.7590 0.2496  5 As 2.93-3.26, 1 Ge 3.25
Sm8 0.8756 0.2588 0.2521  5 As 2.93-3.27, 1 Ge 2.95
Ge1 0.0000 0.0000 0.0000  8 Sm 2.95-3.25
As1 0.1260 0.2498 0.6257  8 Sm 2.93-3.27
As2 0.2500 0.7500 0.5000  8 Sm 2.94-3.26
As3 0.4997 0.8740 0.1238  8 Sm 2.93-3.27
As4 0.6241 0.5003 0.3743  8 Sm 2.93-3.27
As5 0.7502 0.3759 0.8762  8 Sm 2.93-3.27



(8)
First-principles (PBE-GGA) data for crystalline NaAsS2 at its relaxed geometry, as listed in Alexandria.

Formation energy from raw total energies (eV per atom): -0.386
Density of states at the Fermi level (states/eV/cell): 0.00
Symmetry: I-42d, No. 122

a b c (Å): 7.3988 7.3988 7.3988
angles (deg): 131.38 131.38 71.22
Last column: nearest neighbours and their distance in Å.
Positions (direct):
Na1 0.0000 0.0000 0.0000  4 S 2.82
Na2 0.7500 0.2500 0.5000  4 S 2.82
As1 0.2500 0.7500 0.5000  4 S 2.46
As2 0.5000 0.5000 0.0000  4 S 2.46
S1 0.1765 0.6250 0.0515  2 As 2.46
S2 0.3750 0.4265 0.5515  2 As 2.46
S3 0.5735 0.1250 0.9485  2 As 2.46
S4 0.8750 0.8235 0.4485  2 As 2.46



Question: Which value of density of states at the Fermi level does entry 5 give?
Answer: 5.23 states/eV/cell



Please write out number 7 again, unchanged.
First-principles (PBE-GGA) data for crystalline Sm8GeAs5 at its relaxed geometry, as listed in Alexandria.

Density of states at the Fermi level (states/eV/cell): 13.28
ΔE_f (meV/atom): -1202
Symmetry: I-4, No. 82

a b c (Å): 7.7410 7.7410 7.7410
angles (deg): 109.47 109.47 109.48
Last column: nearest neighbours and their distance in Å.
Positions (direct):
Sm1 0.0068 0.6236 0.7479  5 As 2.93-3.27, 1 Ge 2.95
Sm2 0.2410 0.4906 0.1161  5 As 2.93-3.26, 1 Ge 3.25
Sm3 0.3745 0.1249 0.8839  5 As 2.93-3.26, 1 Ge 3.25
Sm4 0.3764 0.1244 0.3832  5 As 2.93-3.27, 1 Ge 2.95
Sm5 0.5094 0.6255 0.7504  5 As 2.93-3.26, 1 Ge 3.25
Sm6 0.7412 0.9932 0.6168  5 As 2.93-3.27, 1 Ge 2.95
Sm7 0.8751 0.7590 0.2496  5 As 2.93-3.26, 1 Ge 3.25
Sm8 0.8756 0.2588 0.2521  5 As 2.93-3.27, 1 Ge 2.95
Ge1 0.0000 0.0000 0.0000  8 Sm 2.95-3.25
As1 0.1260 0.2498 0.6257  8 Sm 2.93-3.27
As2 0.2500 0.7500 0.5000  8 Sm 2.94-3.26
As3 0.4997 0.8740 0.1238  8 Sm 2.93-3.27
As4 0.6241 0.5003 0.3743  8 Sm 2.93-3.27
As5 0.7502 0.3759 0.8762  8 Sm 2.93-3.27



Question: Look up the density of states at the Fermi level of the third one.
Answer: 0.66 states/eV/cell



Question: The lowest density of states at the Fermi level belongs to which entry?
Answer: NaAsS2